Record 1
Here is a relaxed structure of Ca2GaI from the Alexandria database. Energies are from PBE-GGA.

Cell lengths 4.1560, 4.1560, 25.4959 Å; angles 90.00, 90.00, 120.00 degrees
Space group R-3m (No. 166, hexagonal axes)
One atom of each set of equivalent atoms:
Ca 0.0000 0.0000 0.2406 [6 per cell]
Ga 0.0000 0.0000 0.5000 [3 per cell]
I 0.0000 0.0000 0.0000 [3 per cell]

## Properties
formation energy from raw total energies	-73.21	kJ per mole of atoms
DOS(E_F)	1.400	states/eV per cell

***

Record 2
Here is a relaxed structure of CaGa2I from the Alexandria database. Energies are from PBE-GGA.

Cell lengths 8.760, 8.760, 6.135 Å; angles 90.00, 90.00, 90.00 degrees
Space group I-42d (No. 122)
One atom of each set of equivalent atoms:
Ca 0.000 0.000 0.000 [4 per cell]
Ga 0.249 0.250 0.125 [8 per cell]
I 0.000 0.000 0.500 [4 per cell]

## Properties
formation energy from raw total energies	-13.08	kJ per mole of atoms
DOS(E_F)	9.528	states/eV per cell

***

Record 3
Here is a relaxed structure of CaGa2I2 from the Alexandria database. Energies are from PBE-GGA.

Cell lengths 3.857, 3.857, 25.398 Å; angles 90.00, 90.00, 90.00 degrees
Space group I4/mmm (No. 139)
One atom of each set of equivalent atoms:
Ca 0.000 0.000 0.000 [2 per cell]
Ga 0.000 0.500 0.250 [4 per cell]
I 0.000 0.000 0.426 [4 per cell]

## Properties
formation energy from raw total energies	-60.70	kJ per mole of atoms
DOS(E_F)	2.780	states/eV per cell